A relaxed NiO2F2 crystal, computed with GGA+U.

Lattice parameters (Å, degrees): 3.952 3.952 3.668 90.00 90.00 90.00
Last column: magnetic moment on the atom in μB.
Fractional coordinates of all 5 atoms:
Ni  0.000  0.000  0.000  1.79
O  0.500  0.500  0.500  -1.73
O  0.000  0.000  0.500  0.53
F  0.000  0.500  0.000  -0.09
F  0.500  0.000  0.000  -0.09

## Properties
The value obtained for the calculated density is 3.7 g/cm³. The electronic total energy is -16.955 eV for the cell shown.